Compound: Sc5Tl2Pb2
Source: Alexandria via LeMat-Bulk
Functional: GGA-PBE
Structure: relaxed

Cell lengths 14.9168, 7.8157, 7.6964 Å; angles 90.00, 90.00, 90.00 degrees
Closest atoms and distances in Å follow each position.
Space group Cmce (No. 64)
One atom of each set of equivalent atoms:
Sc: 0.0000 0.0000 0.0000 x4  4 Tl 3.00-3.04, 2 Pb 3.12
Sc: 0.1360 0.1705 0.3297 x16  3 Tl 2.95-3.14, 3 Pb 2.97-3.09
Tl: 0.0000 0.1347 0.6344 x8  8 Sc 2.95-3.14, 1 Tl 2.95
Pb: 0.2089 0.0000 0.0000 x8  7 Sc 2.97-3.12

- E_tot: -5.207 eV/atom
- ρ: 7.757 g cm⁻³
- DFT formation energy: -32.8 kJ/mol of atoms